Computed, not measured: an optimized crystal structure of SiBiSb2Te at the PBE level of DFT.

Computed properties:
- N(E_F) (states/eV per cell) = 6.07
- distance to the lowest polymorph of the same formula (eV per formula unit) = 3.784
- final energy (eV/atom) = -2.910
- spin magnetization (Bohr magnetons per cell) = 0.00

The structure in POSCAR format:
```
SiBiSb2Te
1.0
5.761 0.000 0.000
0.000 5.761 0.000
0.000 0.000 5.921
Si Bi Sb Te
1 1 2 1
direct
0.000 0.000 0.000
0.500 0.500 0.500
0.000 0.500 0.500
0.500 0.000 0.500
0.500 0.500 0.000
```

Computed, not measured: an optimized crystal structure of SiBiSbTe2 at the PBE level of DFT.

Computed properties:
- N(E_F) (states/eV per cell) = 3.06
- distance to the lowest polymorph of the same formula (eV per formula unit) = 0.000
- final energy (eV/atom) = -3.531
- spin magnetization (Bohr magnetons per cell) = 0.00

The structure in POSCAR format:
```
SiBiSbTe2
1.0
5.262 0.000 0.000
0.000 5.262 0.000
0.000 0.000 5.305
Si Bi Sb Te
1 1 1 2
direct
0.000 0.000 0.000
0.500 0.500 0.500
0.000 0.000 0.500
0.000 0.500 0.000
0.500 0.000 0.000
```

Computed, not measured: an optimized crystal structure of Th6Si2Bi3Sb at the PBE level of DFT.

Computed properties:
- N(E_F) (states/eV per cell) = 5.33
- final energy (eV/atom) = -6.633
- spin magnetization (Bohr magnetons per cell) = 0.00

The structure in POSCAR format:
```
Th6Si2Bi3Sb
1.0
9.820 -2.210 0.000
9.820 2.210 0.000
-2.300 0.000 8.744
Th Si Bi Sb
6 2 3 1
direct
0.014 0.014 0.253
0.325 0.325 0.434
0.330 0.330 0.886
0.670 0.670 0.114
0.675 0.675 0.566
0.986 0.986 0.747
0.168 0.168 0.335
0.832 0.832 0.665
0.160 0.160 0.834
0.500 0.500 0.500
0.840 0.840 0.166
0.500 0.500 0.000
```

Computed, not measured: an optimized crystal structure of Th4SiBiSb2 at the PBE level of DFT.

Computed properties:
- N(E_F) (states/eV per cell) = 4.65
- final energy (eV/atom) = -6.672
- spin magnetization (Bohr magnetons per cell) = 0.00

The structure in POSCAR format:
```
Th4SiBiSb2
1.0
7.728 0.000 0.000
0.000 4.439 0.000
-2.555 0.000 7.387
Th Si Bi Sb
4 1 1 2
direct
0.231 0.000 0.226
0.243 0.500 0.769
0.757 0.500 0.231
0.769 0.000 0.774
0.000 0.500 0.000
0.000 0.000 0.500
0.500 0.000 0.000
0.500 0.500 0.500
```

Computed, not measured: an optimized crystal structure of SmBiSb2 at the PBE level of DFT.

Computed properties:
- N(E_F) (states/eV per cell) = 1.29
- distance to the lowest polymorph of the same formula (eV per formula unit) = 0.122
- final energy (eV/atom) = -4.643
- spin magnetization (Bohr magnetons per cell) = 0.00

The structure in POSCAR format:
```
SmBiSb2
1.0
4.193 0.000 0.000
0.000 4.193 0.000
0.000 0.000 6.594
Sm Bi Sb
1 1 2
direct
0.000 0.000 0.000
0.000 0.000 0.500
0.500 0.500 0.234
0.500 0.500 0.766
```

Computed, not measured: an optimized crystal structure of Sm5Bi4Sb at the PBE level of DFT.

Computed properties:
- N(E_F) (states/eV per cell) = 2.00
- final energy (eV/atom) = -5.300
- spin magnetization (Bohr magnetons per cell) = 0.00

The structure in POSCAR format:
```
Sm5Bi4Sb
1.0
-2.271 3.208 11.348
2.271 -3.208 11.348
2.271 3.208 -11.348
Sm Bi Sb
5 4 1
direct
0.000 0.000 0.000
0.200 0.200 0.000
0.403 0.403 0.000
0.597 0.597 0.000
0.800 0.800 0.000
0.100 0.600 0.500
0.301 0.801 0.500
0.699 0.199 0.500
0.900 0.400 0.500
0.500 0.000 0.500
```

Computed, not measured: an optimized crystal structure of Sm5BiSb4 at the PBE level of DFT.

Computed properties:
- N(E_F) (states/eV per cell) = 1.54
- final energy (eV/atom) = -5.523
- spin magnetization (Bohr magnetons per cell) = 0.00

The structure in POSCAR format:
```
Sm5BiSb4
1.0
-5.019 5.019 3.174
5.019 -5.019 3.174
5.019 5.019 -3.174
Sm Bi Sb
5 1 4
direct
0.000 0.000 0.000
0.196 0.601 0.797
0.399 0.196 0.596
0.601 0.804 0.404
0.804 0.399 0.203
0.500 0.500 0.000
0.101 0.300 0.401
0.300 0.899 0.199
0.700 0.101 0.801
0.899 0.700 0.599
```

Computed, not measured: an optimized crystal structure of Sm8BiSb2 at the PBE level of DFT.

Computed properties:
- N(E_F) (states/eV per cell) = 14.48
- final energy (eV/atom) = -5.035
- spin magnetization (Bohr magnetons per cell) = 0.00

The structure in POSCAR format:
```
Sm8BiSb2
1.0
9.401 -2.380 0.000
9.401 2.380 0.000
-0.459 0.000 7.903
Sm Bi Sb
8 1 2
direct
0.001 0.001 0.259
0.218 0.218 0.362
0.332 0.332 0.962
0.401 0.401 0.480
0.599 0.599 0.520
0.668 0.668 0.038
0.782 0.782 0.638
0.999 0.999 0.741
0.500 0.500 0.000
0.174 0.174 0.768
0.826 0.826 0.232
```

Computed, not measured: an optimized crystal structure of SmBiSb2 at the PBE level of DFT.

Computed properties:
- N(E_F) (states/eV per cell) = 1.32
- distance to the lowest polymorph of the same formula (eV per formula unit) = 0.000
- final energy (eV/atom) = -4.673
- spin magnetization (Bohr magnetons per cell) = 0.00

The structure in POSCAR format:
```
SmBiSb2
1.0
5.249 0.000 0.000
0.000 5.249 0.000
0.000 0.000 4.195
Sm Bi Sb
1 1 2
direct
0.000 0.000 0.000
0.500 0.500 0.000
0.000 0.500 0.500
0.500 0.000 0.500
```

Computed, not measured: an optimized crystal structure of Sm8Bi5Sb at the PBE level of DFT.

Computed properties:
- N(E_F) (states/eV per cell) = 15.95
- final energy (eV/atom) = -5.223
- spin magnetization (Bohr magnetons per cell) = 0.01

The structure in POSCAR format:
```
Sm8Bi5Sb
1.0
-4.769 4.769 4.785
4.769 -4.769 4.785
4.769 4.769 -4.785
Sm Bi Sb
8 5 1
direct
0.024 0.130 0.753
0.236 0.480 0.611
0.375 0.764 0.244
0.377 0.271 0.247
0.520 0.131 0.756
0.729 0.976 0.106
0.869 0.625 0.389
0.870 0.623 0.894
0.000 0.374 0.128
0.128 0.000 0.374
0.246 0.872 0.872
0.626 0.754 0.626
0.750 0.250 0.500
0.500 0.500 0.000
```

Computed, not measured: an optimized crystal structure of Sm4BiSb3 at the PBE level of DFT.

Computed properties:
- N(E_F) (states/eV per cell) = 0.48
- final energy (eV/atom) = -5.508
- spin magnetization (Bohr magnetons per cell) = 0.00

The structure in POSCAR format:
```
Sm4BiSb3
1.0
6.349 0.000 0.000
0.000 6.349 0.000
0.000 0.000 6.349
Sm Bi Sb
4 1 3
direct
0.000 0.000 0.000
0.000 0.500 0.500
0.500 0.000 0.500
0.500 0.500 0.000
0.500 0.500 0.500
0.000 0.000 0.500
0.000 0.500 0.000
0.500 0.000 0.000
```

Computed, not measured: an optimized crystal structure of Sm2BiSb at the PBE level of DFT.

Computed properties:
- N(E_F) (states/eV per cell) = 0.44
- distance to the lowest polymorph of the same formula (eV per formula unit) = 0.490
- final energy (eV/atom) = -5.289
- spin magnetization (Bohr magnetons per cell) = 0.00

The structure in POSCAR format:
```
Sm2BiSb
1.0
2.235 1.290 7.700
-2.235 1.290 7.700
0.000 -2.580 7.700
Sm Bi Sb
2 1 1
direct
0.000 0.000 0.000
0.168 0.168 0.168
0.585 0.585 0.585
0.416 0.416 0.416
```

Computed, not measured: an optimized crystal structure of Sm5Bi2Sb2 at the PBE level of DFT.

Computed properties:
- N(E_F) (states/eV per cell) = 17.49
- distance to the lowest polymorph of the same formula (eV per formula unit) = 0.146
- final energy (eV/atom) = -5.335
- spin magnetization (Bohr magnetons per cell) = 0.00

The structure in POSCAR format:
```
Sm5Bi2Sb2
1.0
7.909 -4.167 0.000
7.909 4.167 0.000
0.000 0.000 8.434
Sm Bi Sb
10 4 4
direct
0.000 0.000 0.000
0.022 0.697 0.659
0.197 0.522 0.159
0.303 0.978 0.659
0.478 0.803 0.159
0.500 0.500 0.500
0.522 0.197 0.841
0.697 0.022 0.341
0.803 0.478 0.841
0.978 0.303 0.341
0.142 0.858 0.358
0.358 0.642 0.858
0.642 0.358 0.142
0.858 0.142 0.642
0.199 0.199 0.000
0.301 0.301 0.500
0.699 0.699 0.500
0.801 0.801 0.000
```